Er6Ga2C after structural relaxation. Source: Alexandria, functional PBE.

a b c (Å): 6.6839 6.6839 10.8520
angles (deg): 90.00 90.00 90.00
Closest atoms and distances in Å follow each position.
Sites, in units of the cell vectors:
Er 0.1950 0.1950 0.1563  1 C 2.51
Er 0.1950 0.1950 0.8437  1 C 2.51
Er 0.2486 0.7514 0.0000  1 C 2.35
Er 0.2514 0.2514 0.5000  1 C 2.35
Er 0.3050 0.6950 0.3437  1 C 2.51
Er 0.3050 0.6950 0.6563  1 C 2.51
Er 0.6950 0.3050 0.3437  1 C 2.51
Er 0.6950 0.3050 0.6563  1 C 2.51
Er 0.7486 0.7486 0.5000  1 C 2.35
Er 0.7514 0.2486 0.0000  1 C 2.35
Er 0.8050 0.8050 0.1563  1 C 2.51
Er 0.8050 0.8050 0.8437  1 C 2.51
Ga 0.0000 0.0000 0.3603  6 Er 2.82-2.89, 1 Ga 3.03
Ga 0.0000 0.0000 0.6397  6 Er 2.82-2.89, 1 Ga 3.03
Ga 0.5000 0.5000 0.1397  6 Er 2.82-2.89, 1 Ga 3.03
Ga 0.5000 0.5000 0.8603  6 Er 2.82-2.89, 1 Ga 3.03
C 0.0000 0.0000 0.0000  6 Er 2.35-2.51
C 0.5000 0.5000 0.5000  6 Er 2.35-2.51

Space-group type: P4_2/mnm, No. 136
Total moment (μB per formula unit): 0.00
Energy of formation from the pure elements (eV/atom): -0.136